# 1
The following is a DFT calculation (SCAN) of MgBeNi3 at its PBEsol-relaxed geometry.

* SG: No. 221
* energy of formation: 1445.5 meV per atom
* uncorrected energy: -10.12 eV per atom

abc: 4.180 4.180 4.180
angles: 90.00 90.00 90.00
Atoms (fractional coordinates):
Ni  0.000  0.500  0.000
Ni  0.500  0.000  0.000
Ni  0.000  0.000  0.500
Mg  0.000  0.000  0.000
Be  0.500  0.500  0.500

# 2
The following is a DFT calculation (SCAN) of MgBe2Ni at its PBEsol-relaxed geometry.

* SG: No. 44
* energy of formation: 14.0 meV per atom
* uncorrected energy: -7.45 eV per atom

abc: 2.820 3.969 4.577
angles: 115.62 107.94 90.00
Atoms (fractional coordinates):
Be  0.999  0.499  0.998
Be  0.726  0.725  0.450
Mg  0.501  0.001  0.002
Ni  0.274  0.275  0.549

# 3
The following is a DFT calculation (SCAN) of MgBeNi2 at its PBEsol-relaxed geometry.

* SG: No. 99
* energy of formation: -90.3 meV per atom
* uncorrected energy: -10.51 eV per atom

abc: 2.807 2.809 5.826
angles: 90.00 90.00 90.00
Atoms (fractional coordinates):
Mg  0.500  0.500  0.751
Ni  0.500  0.500  0.282
Ni  0.000  0.000  0.034
Be  0.000  0.000  0.433

# 4
The following is a DFT calculation (SCAN) of MgBe4Ni at its PBEsol-relaxed geometry.

* SG: No. 216
* energy of formation: -195.6 meV per atom
* uncorrected energy: -6.62 eV per atom

abc: 4.314 4.314 4.314
angles: 60.00 60.00 60.00
Atoms (fractional coordinates):
Be  0.120  0.627  0.627
Be  0.627  0.627  0.627
Be  0.627  0.627  0.120
Be  0.627  0.120  0.627
Mg  0.250  0.250  0.250
Ni  0.000  0.000  0.000

# 5
The following is a DFT calculation (SCAN) of SrMg2BeNi at its PBEsol-relaxed geometry.

* SG: No. 123
* energy of formation: 682.5 meV per atom
* uncorrected energy: -9.87 eV per atom

abc: 4.686 4.686 5.418
angles: 90.00 90.00 90.00
Atoms (fractional coordinates):
Ni  0.500  0.500  0.500
Sr  0.000  0.000  0.500
Mg  0.000  0.500  0.000
Mg  0.500  0.000  0.000
Be  0.000  0.000  0.000

# 6
The following is a DFT calculation (SCAN) of MgTiBe2O at its PBEsol-relaxed geometry.

* SG: No. 123
* uncorrected energy: -6.70 eV per atom
* E_form (uncorrected): 0.489 eV per atom

abc: 3.535 4.531 4.531
angles: 90.00 90.00 90.00
Atoms (fractional coordinates):
O  0.500  0.000  0.000
Ti  0.500  0.500  0.500
Be  0.000  0.000  0.500
Be  0.000  0.500  0.000
Mg  0.000  0.000  0.000